1.
The following is a DFT calculation (GGA-PBE) of an optimized crystal structure of LiGe5W3.

```
LiGe5W3
1.0
5.327 0.000 0.000
-2.663 4.613 0.000
0.000 0.000 7.749
Ge Li W
5 1 3
Cartesian
2.663 1.538 1.614
0.000 3.075 1.614
0.000 0.000 3.874
2.663 1.538 6.135
0.000 3.075 6.135
0.000 0.000 0.000
2.663 0.000 3.874
-1.332 2.307 3.874
1.332 2.307 3.874
```

The total energy comes out at -61.38 eV for the cell shown. As for the density: 8.0 g/cm3. Its space group is P6/mmm.



2.
The following is a DFT calculation (GGA-PBE) of an optimized crystal structure of PrCoCu2As4.

```
PrCoCu2As4
1.0
-2.713 -2.872 0.124
1.358 -1.431 -3.425
5.797 -5.282 4.504
As Co Cu Pr
4 1 2 1
Cartesian
-1.059 -1.707 0.293
0.977 -0.987 -1.481
1.116 -3.786 -0.257
3.785 -3.448 2.941
1.223 -1.115 0.951
1.402 -3.949 2.205
3.437 -3.229 0.431
3.799 -6.230 1.828
```

The total energy comes out at -39.98 eV for the cell shown. As for the density: 7.4 g/cm3. Its space group is P4mm.